A relaxed structure of Ca2Cd2In, computed with PBE.

As for the formation energy: -0.0996 eV per atom. As for the total moment: 0.0000 μB per atom. Its space-group type is I4/mmm (139). The value obtained for the offset from the most stable computed form is 245 meV per atom. The calculated volume is 159.7 Å³/cell. The calculation puts the final energy at -0.1333 Ry/atom.

a b c (Å): 6.1140 6.1140 6.0773
angles (deg): 59.80 59.80 90.00
Sites, in units of the cell vectors:
1 Cd 0.6572 0.6572 0.6857
2 Ca 0.7500 0.2500 0.5000
3 In 0.0000 0.0000 0.0000
4 Cd 0.3428 0.3428 0.3143
5 Ca 0.2500 0.7500 0.5000